No. 1
A relaxed LaGdNiAu crystal, computed with PBE.

Output
energy of formation from the pure elements: -2.0 eV per formula unit

The structure in CIF format:
```
data_LaGdNiAu
_chemical_formula_sum 'La4 Gd4 Ni4 Au4'
_cell_length_a 7.239
_cell_length_b 7.239
_cell_length_c 7.239
_cell_angle_alpha 90.00
_cell_angle_beta 90.00
_cell_angle_gamma 90.00
_symmetry_space_group_name_H-M 'F -4 3 m'
_symmetry_Int_Tables_number 216
_symmetry_space_group_name_Hall 'F -4 2 3'
loop_
_atom_site_label
_atom_site_fract_x
_atom_site_fract_y
_atom_site_fract_z
La1 0.000 0.000 0.000
Gd1 0.000 0.000 0.500
Ni1 0.250 0.250 0.750
Au1 0.250 0.250 0.250
```

=====

No. 2
A relaxed ErZn2Fe9 crystal, computed with PBE.

Output
energy of formation from the pure elements: 0.3 eV per formula unit

The structure in CIF format:
```
data_ErZn2Fe9
_chemical_formula_sum 'Er2 Zn4 Fe18'
_cell_length_a 8.174
_cell_length_b 8.174
_cell_length_c 4.812
_cell_angle_alpha 90.00
_cell_angle_beta 90.00
_cell_angle_gamma 90.00
_symmetry_space_group_name_H-M 'P 4/m b m'
_symmetry_Int_Tables_number 127
_symmetry_space_group_name_Hall '-P 4 2ab'
loop_
_atom_site_label
_atom_site_fract_x
_atom_site_fract_y
_atom_site_fract_z
Er1 0.000 0.000 0.000
Zn1 0.119 0.381 0.000
Fe1 0.000 0.500 0.500
Fe2 0.066 0.212 0.500
Fe3 0.178 0.678 0.242
```

=====

No. 3
A relaxed ZnFeCl2 crystal, computed with PBE.

Output
E_form (uncorrected): 0.475 eV/atom
relative energy among the computed polymorphs: 0.8351 eV/atom

The structure in CIF format:
```
data_ZnFeCl2
_chemical_formula_sum 'Zn4 Fe4 Cl8'
_cell_length_a 6.752
_cell_length_b 6.752
_cell_length_c 6.752
_cell_angle_alpha 90.00
_cell_angle_beta 90.00
_cell_angle_gamma 90.00
_symmetry_space_group_name_H-M 'F -4 3 m'
_symmetry_Int_Tables_number 216
_symmetry_space_group_name_Hall 'F -4 2 3'
loop_
_atom_site_label
_atom_site_fract_x
_atom_site_fract_y
_atom_site_fract_z
Zn1 0.000 0.000 0.000
Fe1 0.250 0.250 0.250
Cl1 0.000 0.000 0.500
Cl2 0.250 0.250 0.750
```

=====

No. 4
A relaxed AcBiP crystal, computed with PBE.

Output
relative energy among the computed polymorphs: 0.1517 eV/atom
energy of formation from the pure elements: -1.9 eV per formula unit

The structure in CIF format:
```
data_AcBiP
_chemical_formula_sum 'Ac2 Bi2 P2'
_cell_length_a 4.284
_cell_length_b 4.284
_cell_length_c 11.387
_cell_angle_alpha 90.00
_cell_angle_beta 90.00
_cell_angle_gamma 90.00
_symmetry_space_group_name_H-M 'I 4 m m'
_symmetry_Int_Tables_number 107
_symmetry_space_group_name_Hall 'I 4 -2'
loop_
_atom_site_label
_atom_site_fract_x
_atom_site_fract_y
_atom_site_fract_z
Ac1 0.000 0.000 0.000
Bi1 0.000 0.000 0.317
P1 0.000 0.000 0.550
```

=====

No. 5
A relaxed FeSBr2 crystal, computed with PBE.

Output
E_form (uncorrected): 0.501 eV/atom
relative energy among the computed polymorphs: 0.0000 eV/atom

The structure in CIF format:
```
data_FeSBr2
_chemical_formula_sum 'Fe3 S3 Br6'
_cell_length_a 3.6448
_cell_length_b 3.6448
_cell_length_c 22.6953
_cell_angle_alpha 90.00
_cell_angle_beta 90.00
_cell_angle_gamma 120.00
_symmetry_space_group_name_H-M 'R -3 m'
_symmetry_Int_Tables_number 166
_symmetry_space_group_name_Hall '-R 3 2"'
loop_
_atom_site_label
_atom_site_fract_x
_atom_site_fract_y
_atom_site_fract_z
Fe1 0.0000 0.0000 0.0000
S1 0.0000 0.0000 0.5000
Br1 0.0000 0.0000 0.3902
```

=====

No. 6
A relaxed KFeSe2 crystal, computed with PBE.

Output
E_form (uncorrected): 0.520 eV/atom

The structure in CIF format:
```
data_KFeSe2
_chemical_formula_sum 'K4 Fe4 Se8'
_cell_length_a 7.141
_cell_length_b 7.141
_cell_length_c 7.141
_cell_angle_alpha 90.00
_cell_angle_beta 90.00
_cell_angle_gamma 90.00
_symmetry_space_group_name_H-M 'F -4 3 m'
_symmetry_Int_Tables_number 216
_symmetry_space_group_name_Hall 'F -4 2 3'
loop_
_atom_site_label
_atom_site_fract_x
_atom_site_fract_y
_atom_site_fract_z
K1 0.000 0.000 0.000
Fe1 0.250 0.250 0.250
Se1 0.000 0.000 0.500
Se2 0.250 0.250 0.750
```

=====

Number 1: D(E_F) 11.2 states/eV/cell, M_tot 7.18 μB/f.u.. Number 2: D(E_F) 32.0 states/eV/cell, M_tot 18.95 μB/f.u.. Number 3: D(E_F) 37.3 states/eV/cell, M_tot 3.38 μB/f.u.. Number 4: D(E_F) 4.4 states/eV/cell, M_tot 0.00 μB/f.u.. Number 5: D(E_F) 9.1 states/eV/cell, M_tot 0.22 μB/f.u.. Number 6: D(E_F) 22.8 states/eV/cell, M_tot 3.75 μB/f.u..